Record 1
Entry from Alexandria via LeMat-Bulk: a geometry-optimized Cs3UAu2Se6 structure (GGA-PBE).

Output
- space group = No. 164
- final energy (eV/atom) = -4.24

Lattice parameters (Å, degrees): 7.9682 7.9682 9.3694 90.00 90.00 120.00
With the nearest neighbours (Å) after each atom.
Sites, in units of the cell vectors:
Se 0.1520 0.8480 0.3165  1 Au 2.50, 1 U 2.71
Se 0.6960 0.8480 0.3165  1 Au 2.50, 1 U 2.71
Se 0.8480 0.1520 0.6835  1 Au 2.50, 1 U 2.71
Se 0.8480 0.6960 0.6835  1 Au 2.50, 1 U 2.71
Se 0.1520 0.3040 0.3165  1 Au 2.50, 1 U 2.71
Se 0.3040 0.1520 0.6835  1 Au 2.50, 1 U 2.71
Au 0.6667 0.3333 0.6803  3 Se 2.50
Au 0.3333 0.6667 0.3197  3 Se 2.50
Cs 0.6667 0.3333 0.3107  1 Au 3.46
Cs 0.0000 0.0000 0.0000  6 Se 3.63
Cs 0.3333 0.6667 0.6893  1 Au 3.46
U 0.0000 0.0000 0.5000  6 Se 2.71

***

Record 2
Entry from Alexandria via LeMat-Bulk: a geometry-optimized SrZr2CrN4 structure (GGA-PBE).

Output
- space group = No. 63
- final energy (eV/atom) = -8.93

Lattice parameters (Å, degrees): 3.2913 5.9360 11.2927 90.00 90.00 106.10
With the nearest neighbours (Å) after each atom.
Sites, in units of the cell vectors:
Sr 0.9053 0.8106 0.2500  6 N 2.65-2.78
Sr 0.0947 0.1894 0.7500  6 N 2.65-2.78
N 0.5877 0.1754 0.2500  2 Cr 1.90
N 0.0000 0.0000 0.0000  4 Zr 2.29
N 0.7385 0.4771 0.6143  1 Cr 1.84
N 0.7385 0.4771 0.8857  1 Cr 1.84
N 0.4123 0.8246 0.7500  2 Cr 1.90
N 0.0000 0.0000 0.5000  4 Zr 2.29
N 0.2615 0.5229 0.1143  1 Cr 1.84
N 0.2615 0.5229 0.3857  1 Cr 1.84
Zr 0.3677 0.7355 0.9562  6 N 2.16-2.38
Zr 0.3677 0.7355 0.5438  6 N 2.16-2.38
Zr 0.6323 0.2645 0.0438  6 N 2.16-2.38
Zr 0.6323 0.2645 0.4562  6 N 2.16-2.38
Cr 0.8286 0.6571 0.7500  4 N 1.84-1.90
Cr 0.1714 0.3429 0.2500  4 N 1.84-1.90

***

| no. | formation energy without anion corrections (meV per atom) |
| --- | --- |
| 1 | -800 |
| 2 | -1216 |